No. 1
The following is a DFT calculation (GGA-PBE) of Na2H2Pb after structural relaxation.

Summary:
- symmetry = I4/mmm, No. 139
- offset from the most stable computed form (eV/atom) = 0.014
- N(E_F) (states/eV/cell) = 1.36

The structure in POSCAR format:
```
Na2H2Pb
1.0
4.079 0.000 0.000
0.000 4.079 0.000
2.040 2.040 5.489
Pb Na H
1 2 2
Cartesian
0.000 0.000 0.000
2.040 2.040 1.919
4.079 4.079 3.570
4.079 2.040 2.744
2.040 4.079 2.744
```

***

No. 2
The following is a DFT calculation (GGA-PBE) of NaH2Pb2 after structural relaxation.

Summary:
- symmetry = I4/mmm, No. 139
- offset from the most stable computed form (eV/atom) = 0.188
- N(E_F) (states/eV/cell) = 1.90

The structure in POSCAR format:
```
NaH2Pb2
1.0
-0.183 -2.150 -3.548
4.023 -0.957 0.373
0.461 -6.491 1.480
Pb Na H
2 1 2
Cartesian
1.464 -3.098 -0.628
2.837 -6.500 -1.067
0.000 0.000 0.000
1.099 -5.097 -1.827
3.202 -4.501 0.133
```

***

No. 3
The following is a DFT calculation (GGA-PBE) of Na2HPb after structural relaxation.

Summary:
- symmetry = P4/mmm, No. 123
- offset from the most stable computed form (eV/atom) = 0.056
- N(E_F) (states/eV/cell) = 1.04

The structure in POSCAR format:
```
Na2HPb
1.0
-2.275 -2.232 0.467
1.280 -0.704 2.871
-4.784 5.607 3.509
Pb Na H
1 2 1
Cartesian
-2.889 1.335 3.423
-3.913 4.587 2.870
-0.870 1.020 0.638
-0.497 -1.468 1.669
```

***

No. 4
The following is a DFT calculation (GGA-PBE) of Na12H5Pb3 after structural relaxation.

Summary:
- symmetry = Ia-3d, No. 230
- final energy (eV per atom) = -2.193
- N(E_F) (states/eV/cell) = 32.24

The structure in POSCAR format:
```
Na12H5Pb3
1.0
-9.574 1.722 -9.673
12.279 -1.487 -5.933
-2.906 -11.201 7.367
Pb H Na
12 20 48
Cartesian
-2.939 -0.667 -8.559
0.469 -1.009 -11.993
3.803 -7.471 -3.473
-1.948 -3.956 -0.397
-7.569 -1.480 -7.364
3.358 -3.084 -5.494
-3.558 -7.883 -2.745
7.368 -9.487 -0.875
1.748 -7.011 -7.842
-4.004 -3.496 -4.766
-0.670 -9.958 3.754
2.738 -10.300 0.320
2.681 -3.143 -1.592
6.140 -0.744 -2.966
0.000 0.000 0.000
-0.884 -1.126 -4.190
-6.240 -4.740 -1.153
1.353 0.117 -7.803
6.923 -5.101 -2.896
-8.188 -8.696 -1.550
-0.596 -3.839 -8.200
-4.235 -7.941 1.156
4.034 -3.026 -9.395
-0.100 -5.483 -4.119
-4.787 0.861 -4.837
-1.453 -5.601 3.684
0.395 -7.128 -0.039
7.988 -2.271 -6.689
4.687 -6.344 0.717
-7.123 -5.866 -5.343
0.683 -9.841 -4.049
-2.882 -7.824 -6.647
-5.374 0.933 -7.309
2.094 -4.719 -3.089
-5.548 -2.275 -9.674
-2.775 -0.623 -5.301
0.920 -7.720 -4.767
-2.680 -1.282 -11.752
5.675 -5.261 -4.763
9.933 -2.393 -5.562
4.437 -8.141 -6.601
0.017 -1.774 -8.854
-2.807 -3.740 -7.791
3.263 -0.048 -13.142
6.043 -6.558 -1.423
0.919 -0.918 -5.522
9.081 -5.581 -3.320
-4.351 -6.155 -0.208
0.876 -2.329 -0.522
3.457 -1.279 -8.098
2.525 -3.353 -11.033
3.730 -1.527 -2.757
6.074 -9.796 -3.753
0.540 -4.478 -6.365
-0.133 -5.363 -9.791
-6.498 -9.287 -2.914
-0.741 -6.488 -1.874
-0.068 -5.604 1.552
6.297 -1.680 -5.325
-2.725 -7.614 2.794
-6.274 -1.171 -4.486
-3.930 -9.440 -5.481
-3.657 -9.688 -0.141
4.150 -4.812 -8.031
-1.077 -8.638 -7.717
-9.281 -5.386 -4.919
-6.243 -4.409 -6.816
-3.464 -10.919 4.903
-1.120 -10.049 -2.717
-4.638 -2.826 -1.638
-0.218 -9.193 0.615
2.606 -7.227 -0.448
-10.133 -8.573 -2.677
-5.875 -5.706 -3.476
2.575 -10.344 -2.938
2.480 -9.685 3.513
-1.120 -3.247 -3.472
5.348 -8.692 1.435
-2.295 -6.248 -5.150
5.173 -11.900 -0.930
```

***

No. 5
The following is a DFT calculation (GGA-PBE) of Na2HPb after structural relaxation.

Summary:
- symmetry = I-42d, No. 122
- offset from the most stable computed form (eV/atom) = 0.089
- N(E_F) (states/eV/cell) = 0.53

The structure in POSCAR format:
```
Na2HPb
1.0
6.621 0.000 0.000
0.000 6.621 0.000
3.310 3.310 4.352
Pb Na H
2 4 2
Cartesian
0.000 0.000 0.000
6.621 3.310 2.176
3.952 1.655 1.088
2.669 4.966 1.088
4.966 5.980 3.264
8.276 7.262 3.264
3.310 3.310 0.000
3.310 6.621 2.176
```

***

No. 6
The following is a DFT calculation (GGA-PBE) of NaHPd2Pb after structural relaxation.

Summary:
- symmetry = P4/mmm, No. 123
- final energy (eV per atom) = -3.902
- N(E_F) (states/eV/cell) = 1.70

The structure in POSCAR format:
```
NaHPd2Pb
1.0
4.165 0.000 0.000
0.000 4.165 0.000
0.000 0.000 4.437
Pb Na Pd H
1 1 2 1
Cartesian
2.083 2.083 2.218
0.000 0.000 2.218
0.000 2.083 0.000
2.083 0.000 0.000
0.000 0.000 0.000
```

***

No. 7
The following is a DFT calculation (GGA-PBE) of NaH2PdPb after structural relaxation.

Summary:
- symmetry = P4/mmm, No. 123
- final energy (eV per atom) = -2.968
- N(E_F) (states/eV/cell) = 1.68

The structure in POSCAR format:
```
NaH2PdPb
1.0
-0.644 3.817 0.468
-0.013 -0.660 5.358
3.846 0.638 0.088
Pb Na Pd H
1 1 1 2
Cartesian
1.595 1.898 2.957
-0.007 -0.330 2.679
0.000 0.000 0.000
1.923 0.319 0.044
-0.322 1.909 0.234
```

***

No. 8
The following is a DFT calculation (GGA-PBE) of NaHPt2Pb after structural relaxation.

Summary:
- symmetry = P4/mmm, No. 123
- final energy (eV per atom) = -4.198
- N(E_F) (states/eV/cell) = 2.27

The structure in POSCAR format:
```
NaHPt2Pb
1.0
-3.856 0.404 1.391
-0.701 -3.982 -0.787
1.397 -1.073 4.184
Pb Na Pt H
1 1 2 1
Cartesian
-1.580 -2.325 2.394
0.698 -0.536 2.092
-0.351 -1.991 -0.393
-1.928 0.202 0.696
0.000 0.000 0.000
```

***

No. 9
The following is a DFT calculation (GGA-PBE) of NaH6PtPb after structural relaxation.

Summary:
- symmetry = P1, No. 1
- final energy (eV per atom) = -3.529
- N(E_F) (states/eV/cell) = 1.35

The structure in POSCAR format:
```
NaH6PtPb
1.0
-2.109 1.062 4.679
-4.898 0.667 0.269
-0.562 -4.566 1.132
Na H Pt Pb
1 6 1 1
Cartesian
-4.866 -0.473 3.773
-1.399 -1.120 1.321
-1.595 -2.894 3.003
-3.824 -2.592 3.129
-4.978 -1.976 5.629
-3.729 -0.804 1.454
-2.420 -0.721 3.324
-2.643 -1.875 2.156
-5.385 -3.457 1.662
```

***

No. 10
The following is a DFT calculation (GGA-PBE) of Rb2NaHPb after structural relaxation.

Summary:
- symmetry = P4/mmm, No. 123
- final energy (eV per atom) = -2.060
- N(E_F) (states/eV/cell) = 4.37

The structure in POSCAR format:
```
Rb2NaHPb
1.0
-6.191 -0.715 -0.848
1.090 -3.041 -5.396
0.145 -3.908 2.232
Pb Na Rb H
1 1 2 1
Cartesian
-2.478 -3.832 -2.006
0.073 -1.954 1.116
0.545 -1.521 -2.698
-3.095 -0.357 -0.424
0.000 0.000 0.000
```

***

No. 11
The following is a DFT calculation (GGA-PBE) of NaHRhPb2 after structural relaxation.

Summary:
- symmetry = P4/mmm, No. 123
- final energy (eV per atom) = -3.687
- N(E_F) (states/eV/cell) = 2.25

The structure in POSCAR format:
```
NaHRhPb2
1.0
4.840 0.000 0.000
0.000 3.982 0.000
0.000 0.000 4.840
Pb Na Rh H
2 1 1 1
Cartesian
0.000 0.000 2.420
2.420 0.000 0.000
0.000 1.991 0.000
2.420 1.991 2.420
0.000 0.000 0.000
```

***

No. 12
The following is a DFT calculation (GGA-PBE) of Na2HRhPb after structural relaxation.

Summary:
- symmetry = P4/mmm, No. 123
- final energy (eV per atom) = -3.364
- N(E_F) (states/eV/cell) = 3.47

The structure in POSCAR format:
```
Na2HRhPb
1.0
-4.464 -0.636 -1.499
-0.432 -3.755 2.880
-1.260 2.281 2.784
Pb Na Rh H
1 2 1 1
Cartesian
-3.078 -1.055 2.083
-0.216 -1.877 1.440
-2.232 -0.318 -0.749
-0.630 1.140 1.392
0.000 0.000 0.000
```